This record from Alexandria via LeMat-Bulk describes SmPuAg2 after structural relaxation. The functional is PBE.

Cell lengths 5.439, 5.439, 3.385 Å; angles 90.00, 90.00, 90.00 degrees
Sites, in units of the cell vectors:
1 Sm 0.000 0.000 0.000
2 Pu 0.500 0.500 0.000
3 Ag 0.000 0.500 0.500
4 Ag 0.500 0.000 0.500

Energy of formation in eV/atom: -0.073
Total magnetization in Bohr magnetons per cell: 5.93
Mass density in g/cm3: 10.117